First-principles (PBE+U) data for crystalline BeFeNO2 at its relaxed geometry, as listed in the Alexandria database.

Summary:
N(E_F) (states/eV/atom): 0.355
Total DFT energy (no corrections) (eV/atom): -5.1356

Structure (CIF):
```
data_BeFeNO2
_chemical_formula_sum 'Be1 Fe1 N1 O2'
_cell_length_a 3.7038
_cell_length_b 3.7038
_cell_length_c 3.7770
_cell_angle_alpha 90.00
_cell_angle_beta 90.00
_cell_angle_gamma 90.00
_space_group_name_H-M_alt 'P 1'
_space_group_IT_number 1
_space_group_name_Hall 'P 1'
loop_
_atom_site_label
_atom_site_fract_x
_atom_site_fract_y
_atom_site_fract_z
Be1 0.5000 0.5000 0.5000
O1 0.5000 0.0000 0.0000
O2 0.0000 0.5000 0.0000
Fe1 0.0000 0.0000 0.0000
N1 0.0000 0.0000 0.5000
```